1.
MoOs after structural relaxation, computed with PBE. Values from VASP.

Cell and atoms, written as Quantum ESPRESSO input:
```
&SYSTEM
  ibrav = 0, nat = 16, ntyp = 2
/
ATOMIC_SPECIES
Mo 95.94 Mo.upf
Os 190.23 Os.upf
CELL_PARAMETERS angstrom
7.733 0.000 0.000
0.000 7.733 0.000
0.000 0.000 4.356
ATOMIC_POSITIONS crystal
Mo 0.050 0.297 0.000
Mo 0.203 0.450 0.500
Mo 0.297 0.950 0.000
Mo 0.450 0.797 0.500
Mo 0.550 0.203 0.500
Mo 0.703 0.050 0.000
Mo 0.797 0.550 0.500
Mo 0.950 0.703 0.000
Os 0.104 0.780 0.500
Os 0.220 0.104 0.500
Os 0.280 0.604 0.000
Os 0.396 0.280 0.000
Os 0.604 0.720 0.000
Os 0.720 0.396 0.000
Os 0.780 0.896 0.500
Os 0.896 0.220 0.500
```

D(E_F) = 11.8 states/eV/cell
Calculated total energy = -10.6668 eV/atom

---

2.
GdPuZnCo after structural relaxation, computed with PBE. Values from VASP.

Cell and atoms, written as Quantum ESPRESSO input:
```
&SYSTEM
  ibrav = 0, nat = 4, ntyp = 4
/
ATOMIC_SPECIES
Gd 157.25 Gd.upf
Pu 244.00 Pu.upf
Zn 65.41 Zn.upf
Co 58.93 Co.upf
CELL_PARAMETERS angstrom
0.000 3.466 3.466
3.466 0.000 3.466
3.466 3.466 0.000
ATOMIC_POSITIONS crystal
Gd 0.000 0.000 0.000
Pu 0.500 0.500 0.500
Zn 0.250 0.250 0.250
Co 0.750 0.750 0.750
```

D(E_F) = 7.9 states/eV/cell
Calculated total energy = -9.2406 eV/atom

---

no.,calculated volume (Å³ per atom),energy relative to the elements (meV/atom)
1,16.28,364
2,20.82,-42